(1)
An optimized crystal structure of CaPm3. Source: the Alexandria database, functional PBE.

Cell and atoms, written as extended XYZ:
```
4
Lattice="5.2091 0.0000 0.0000 0.0000 5.2091 0.0000 0.0000 0.0000 5.2091" Properties=species:S:1:pos:R:3 pbc="T T T"
Ca 0.0000 0.0000 0.0000
Pm 0.0000 2.6045 2.6045
Pm 2.6045 0.0000 2.6045
Pm 2.6045 2.6045 0.0000
```

Crystal system: cubic

(2)
An optimized crystal structure of CaPm6. Source: the Alexandria database, functional PBE.

Cell and atoms, written as extended XYZ:
```
7
Lattice="-4.1342 4.1342 4.1342 4.1342 -4.1342 4.1342 4.1342 4.1342 -4.1342" Properties=species:S:1:pos:R:3 pbc="T T T"
Ca 0.0000 0.0000 0.0000
Pm 4.1342 2.0671 0.0000
Pm 4.1342 0.0000 2.0671
Pm 2.0671 4.1342 0.0000
Pm 2.0671 0.0000 4.1342
Pm 0.0000 4.1342 2.0671
Pm 0.0000 2.0671 4.1342
```

Crystal system: cubic

(3)
An optimized crystal structure of CaPm2. Source: the Alexandria database, functional PBE.

Cell and atoms, written as extended XYZ:
```
6
Lattice="0.0000 4.8579 4.8579 4.8579 0.0000 4.8579 4.8579 4.8579 0.0000" Properties=species:S:1:pos:R:3 pbc="T T T"
Ca 1.2145 1.2145 1.2145
Ca 8.5014 8.5014 8.5014
Pm 4.8579 2.4290 2.4290
Pm 2.4290 4.8579 2.4290
Pm 2.4290 2.4290 4.8579
Pm 4.8579 4.8579 4.8579
```

Crystal system: cubic
Energy relative to the lowest polymorph listed for this composition in meV/atom: 132

(4)
An optimized crystal structure of CaPm8. Source: the Alexandria database, functional PBE.

Cell and atoms, written as extended XYZ:
```
9
Lattice="6.3592 0.0000 0.0000 3.1787 5.5087 0.0000 0.0163 0.0080 8.9791" Properties=species:S:1:pos:R:3 pbc="T T T"
Ca 0.0000 0.0000 0.0000
Pm 7.4412 1.8697 3.0232
Pm 2.1129 3.6470 5.9559
Pm 3.1926 1.8439 8.9778
Pm 4.2617 3.6516 3.0248
Pm 5.3367 5.5091 5.9568
Pm 4.2174 0.0076 3.0224
Pm 5.2924 1.8651 5.9543
Pm 6.3615 3.6728 0.0013
```

Crystal system: triclinic

(5)
An optimized crystal structure of CaPm. Source: the Alexandria database, functional PBE.

Cell and atoms, written as extended XYZ:
```
4
Lattice="3.6741 0.0000 0.0000 0.0000 5.3699 0.0000 0.0000 0.0000 7.5688" Properties=species:S:1:pos:R:3 pbc="T T T"
Ca 0.9185 1.3425 0.9994
Ca 2.7555 4.0274 6.5694
Pm 0.9185 1.3425 4.6039
Pm 2.7555 4.0274 2.9649
```

Crystal system: orthorhombic
Energy relative to the lowest polymorph listed for this composition in meV/atom: 57

(6)
An optimized crystal structure of Ca4Pm. Source: the Alexandria database, functional PBE.

Cell and atoms, written as extended XYZ:
```
5
Lattice="5.1440 -2.9597 0.0000 5.1440 2.9597 0.0000 -0.0073 0.0000 7.3886" Properties=species:S:1:pos:R:3 pbc="T T T"
Ca 1.7026 0.0000 1.1358
Ca 1.7144 0.0000 4.6927
Ca 8.5664 0.0000 2.6959
Ca 8.5781 0.0000 6.2528
Pm 5.1404 0.0000 3.6943
```

Crystal system: monoclinic
Energy relative to the lowest polymorph listed for this composition in meV/atom: 0

(7)
An optimized crystal structure of Ca3Pm4. Source: the Alexandria database, functional PBE.

Cell and atoms, written as extended XYZ:
```
7
Lattice="-1.8675 1.8675 18.6607 1.8675 -1.8675 18.6607 1.8675 1.8675 -18.6607" Properties=species:S:1:pos:R:3 pbc="T T T"
Ca 0.0000 0.0000 0.0000
Ca 0.0000 0.0000 10.7946
Ca 0.0000 0.0000 26.5269
Pm 0.0000 0.0000 5.1189
Pm 0.0000 0.0000 15.9063
Pm 0.0000 0.0000 21.4152
Pm 0.0000 0.0000 32.2025
```

Crystal system: tetragonal

(8)
An optimized crystal structure of CaPm4. Source: the Alexandria database, functional PBE.

Cell and atoms, written as extended XYZ:
```
5
Lattice="5.7813 0.0000 0.0000 0.0000 5.7813 0.0000 0.0000 0.0000 5.7813" Properties=species:S:1:pos:R:3 pbc="T T T"
Ca 0.0000 0.0000 0.0000
Pm 0.0000 0.0000 2.8906
Pm 0.0000 2.8906 0.0000
Pm 2.8906 0.0000 0.0000
Pm 2.8906 2.8906 2.8906
```

Crystal system: cubic
Energy relative to the lowest polymorph listed for this composition in meV/atom: 711

Number 1: volume 35.34 Å³ per atom, energy relative to the elements 0.0883 eV per atom. Number 2: volume 40.38 Å³ per atom, energy relative to the elements 1.1703 eV per atom. Number 3: volume 38.21 Å³ per atom, energy relative to the elements 0.1650 eV per atom. Number 4: volume 34.95 Å³ per atom, energy relative to the elements 0.0413 eV per atom. Number 5: volume 37.33 Å³ per atom, energy relative to the elements 0.0844 eV per atom. Number 6: volume 45.00 Å³ per atom, energy relative to the elements 0.3156 eV per atom. Number 7: volume 37.19 Å³ per atom, energy relative to the elements 0.0311 eV per atom. Number 8: volume 38.65 Å³ per atom, energy relative to the elements 0.7838 eV per atom.